PmPr3Mg6, optimized geometry, DFT PBE; DFT total energy = -59.13 eV per cell
1.0
9.528 0.000 0.000
0.000 5.374 0.000
-3.065 0.000 11.081
Pm Pr Mg
2 6 12
Direct
0.052 0.250 0.393
0.948 0.750 0.607
0.242 0.250 0.994
0.351 0.750 0.792
0.465 0.250 0.605
0.535 0.750 0.395
0.649 0.250 0.208
0.758 0.750 0.006
0.046 0.750 0.900
0.139 0.250 0.694
0.144 0.750 0.193
0.237 0.750 0.488
0.334 0.250 0.291
0.438 0.750 0.098
0.562 0.250 0.902
0.666 0.750 0.709
0.763 0.250 0.512
0.856 0.250 0.807
0.861 0.750 0.306
0.954 0.250 0.100

=====

Pm5PrMg, optimized geometry, DFT PBE; DFT total energy = -60.00 eV per cell
1.0
5.657 0.000 0.000
-2.824 6.164 0.000
-0.010 -1.466 13.415
Pm Pr Mg
10 2 2
Direct
0.064 0.128 0.132
0.064 0.129 0.633
0.243 0.486 0.426
0.243 0.486 0.927
0.365 0.729 0.193
0.635 0.271 0.807
0.757 0.514 0.073
0.757 0.514 0.574
0.936 0.871 0.367
0.936 0.872 0.868
0.366 0.730 0.694
0.634 0.270 0.306
0.500 0.000 0.000
0.500 0.000 0.500

=====

Pm7PrMg4, optimized geometry, DFT PBE; DFT total energy = -42.89 eV per cell
1.0
7.698 -2.938 0.000
7.698 2.938 0.000
-5.148 0.000 8.403
Pm Pr Mg
7 1 4
Direct
0.000 0.000 0.000
0.246 0.246 0.709
0.300 0.300 0.123
0.420 0.420 0.575
0.580 0.580 0.425
0.700 0.700 0.877
0.754 0.754 0.291
0.500 0.500 0.000
0.039 0.039 0.695
0.176 0.176 0.345
0.824 0.824 0.655
0.961 0.961 0.305

=====

Pm3Pr3Mg2, optimized geometry, DFT PBE; DFT total energy = -62.70 eV per cell
1.0
2.727 -5.984 0.000
2.727 5.984 0.000
0.000 0.000 16.124
Pm Pr Mg
6 6 4
Direct
0.027 0.973 0.750
0.146 0.854 0.030
0.146 0.854 0.470
0.854 0.146 0.530
0.854 0.146 0.970
0.973 0.027 0.250
0.246 0.754 0.250
0.463 0.537 0.105
0.463 0.537 0.395
0.537 0.463 0.605
0.537 0.463 0.895
0.754 0.246 0.750
0.270 0.730 0.647
0.270 0.730 0.853
0.730 0.270 0.147
0.730 0.270 0.353

=====

Pm6Pr2Mg, optimized geometry, DFT PBE; ΔE to the lowest computed polymorph = 0.0 meV per atom
1.0
5.215 -5.901 0.000
5.215 5.901 0.000
-4.842 0.000 9.804
Pm Pr Mg
12 4 2
Direct
0.130 0.856 0.564
0.144 0.870 0.936
0.198 0.487 0.100
0.232 0.428 0.417
0.428 0.232 0.917
0.487 0.198 0.600
0.513 0.802 0.400
0.572 0.768 0.083
0.768 0.572 0.583
0.802 0.513 0.900
0.856 0.130 0.064
0.870 0.144 0.436
0.186 0.470 0.743
0.470 0.186 0.243
0.530 0.814 0.757
0.814 0.530 0.257
0.105 0.895 0.250
0.895 0.105 0.750

=====

Pm4Pr3Mg2, optimized geometry, DFT PBE; DFT total energy = -36.47 eV per cell
1.0
7.665 -2.549 0.000
7.665 2.549 0.000
-2.579 0.000 7.564
Pm Pr Mg
4 3 2
Direct
0.056 0.056 0.331
0.278 0.278 0.674
0.722 0.722 0.326
0.944 0.944 0.669
0.387 0.387 0.331
0.500 0.500 0.000
0.613 0.613 0.669
0.169 0.169 0.000
0.831 0.831 0.000